No. 1
Ca3PN4 | GGA-PBE | relaxed

```
data_Ca3PN4
_chemical_formula_sum 'Ca12 P4 N16'
_cell_length_a 7.0879
_cell_length_b 8.5102
_cell_length_c 7.1483
_cell_angle_alpha 90.00
_cell_angle_beta 90.00
_cell_angle_gamma 90.00
_symmetry_space_group_name_H-M 'P n m a'
_symmetry_Int_Tables_number 62
_symmetry_space_group_name_Hall '-P 2ac 2n'
loop_
_atom_site_label
_atom_site_type_symbol
_atom_site_fract_x
_atom_site_fract_y
_atom_site_fract_z
Ca1 Ca 0.0374 0.0461 0.2267
Ca2 Ca 0.1769 0.7500 0.4302
P1 P 0.2203 0.7500 0.9886
N1 N 0.0054 0.7500 0.0759
N2 N 0.1745 0.0867 0.5575
N3 N 0.2084 0.7500 0.7570
```

Results
Energy above the most stable polymorph in this dataset: 0.00 eV per formula unit
Formation energy from raw total energies: -0.8889 eV/atom


No. 2
PmHfCd2 | GGA-PBE | relaxed

```
data_PmHfCd2
_chemical_formula_sum 'Pm1 Hf1 Cd2'
_cell_length_a 3.5654
_cell_length_b 3.5654
_cell_length_c 7.6627
_cell_angle_alpha 90.00
_cell_angle_beta 90.00
_cell_angle_gamma 90.00
_symmetry_space_group_name_H-M 'P 4/m m m'
_symmetry_Int_Tables_number 123
_symmetry_space_group_name_Hall '-P 4 2'
loop_
_atom_site_label
_atom_site_type_symbol
_atom_site_fract_x
_atom_site_fract_y
_atom_site_fract_z
Pm1 Pm 0.0000 0.0000 0.0000
Hf1 Hf 0.0000 0.0000 0.5000
Cd1 Cd 0.5000 0.5000 0.2803
```

Results
Formation energy from the elements: -1.85 kcal/mol of atoms


No. 3
BaY3P | GGA-PBE | relaxed

```
data_BaY3P
_chemical_formula_sum 'Ba1 Y3 P1'
_cell_length_a 5.5317
_cell_length_b 5.5317
_cell_length_c 5.5317
_cell_angle_alpha 90.00
_cell_angle_beta 90.00
_cell_angle_gamma 90.00
_symmetry_space_group_name_H-M 'P m -3 m'
_symmetry_Int_Tables_number 221
_symmetry_space_group_name_Hall '-P 4 2 3'
loop_
_atom_site_label
_atom_site_type_symbol
_atom_site_fract_x
_atom_site_fract_y
_atom_site_fract_z
Ba1 Ba 0.0000 0.0000 0.0000
Y1 Y 0.0000 0.5000 0.5000
P1 P 0.5000 0.5000 0.5000
```

Results
Energy above the most stable polymorph in this dataset: 0.00 eV per formula unit
Formation energy from the elements: -8.64 kcal/mol of atoms


No. 4
BaNa4Li | GGA-PBE | relaxed

```
data_BaNa4Li
_chemical_formula_sum 'Ba4 Na16 Li4'
_cell_length_a 9.8075
_cell_length_b 9.8075
_cell_length_c 9.8075
_cell_angle_alpha 90.00
_cell_angle_beta 90.00
_cell_angle_gamma 90.00
_symmetry_space_group_name_H-M 'F -4 3 m'
_symmetry_Int_Tables_number 216
_symmetry_space_group_name_Hall 'F -4 2 3'
loop_
_atom_site_label
_atom_site_type_symbol
_atom_site_fract_x
_atom_site_fract_y
_atom_site_fract_z
Ba1 Ba 0.0000 0.0000 0.0000
Na1 Na 0.1236 0.1236 0.6236
Li1 Li 0.2500 0.2500 0.2500
```

Results
Energy above the most stable polymorph in this dataset: 0.06 eV per formula unit
Formation energy from the elements: 1.60 kcal/mol of atoms


No. 5
UCr4P2 | GGA-PBE | relaxed

```
data_UCr4P2
_chemical_formula_sum 'U2 Cr8 P4'
_cell_length_a 3.3911
_cell_length_b 3.3911
_cell_length_c 17.5170
_cell_angle_alpha 90.00
_cell_angle_beta 90.00
_cell_angle_gamma 90.00
_symmetry_space_group_name_H-M 'I 4/m m m'
_symmetry_Int_Tables_number 139
_symmetry_space_group_name_Hall '-I 4 2'
loop_
_atom_site_label
_atom_site_type_symbol
_atom_site_fract_x
_atom_site_fract_y
_atom_site_fract_z
U1 U 0.0000 0.0000 0.0000
Cr1 Cr 0.0000 0.0000 0.1365
Cr2 Cr 0.0000 0.5000 0.2500
P1 P 0.0000 0.0000 0.3566
```

Results
Formation energy from the elements: 1.48 kcal/mol of atoms


No. 6
Ca5Ac3Au12 | GGA-PBE | relaxed

```
data_Ca5Ac3Au12
_chemical_formula_sum 'Ca40 Ac24 Au96'
_cell_length_a 17.5141
_cell_length_b 17.5141
_cell_length_c 17.5141
_cell_angle_alpha 90.00
_cell_angle_beta 90.00
_cell_angle_gamma 90.00
_symmetry_space_group_name_H-M 'I a -3 d'
_symmetry_Int_Tables_number 230
_symmetry_space_group_name_Hall '-I 4bd 2c 3'
loop_
_atom_site_label
_atom_site_type_symbol
_atom_site_fract_x
_atom_site_fract_y
_atom_site_fract_z
Ca1 Ca 0.0000 0.0000 0.0000
Ca2 Ca 0.0000 0.2500 0.3750
Ac1 Ac 0.0000 0.2500 0.1250
Au1 Au 0.0048 0.0741 0.6544
```

Results
Formation energy from the elements: -11.33 kcal/mol of atoms


No. 7
CoGe6Ir3 | GGA-PBE | relaxed

```
data_CoGe6Ir3
_chemical_formula_sum 'Co2 Ge12 Ir6'
_cell_length_a 6.5683
_cell_length_b 6.0835
_cell_length_c 10.3680
_cell_angle_alpha 90.00
_cell_angle_beta 127.88
_cell_angle_gamma 90.00
_symmetry_space_group_name_H-M 'P 1 21/c 1'
_symmetry_Int_Tables_number 14
_symmetry_space_group_name_Hall '-P 2ybc'
loop_
_atom_site_label
_atom_site_type_symbol
_atom_site_fract_x
_atom_site_fract_y
_atom_site_fract_z
Co1 Co 0.0000 0.0000 0.0000
Ge1 Ge 0.0689 0.0284 0.2418
Ge2 Ge 0.2101 0.1563 0.5645
Ge3 Ge 0.4074 0.6391 0.5716
Ir1 Ir 0.2640 0.6604 0.2434
Ir2 Ir 0.5000 0.0000 0.5000
```

Results
Formation energy from the elements: -4.69 kcal/mol of atoms


No. 8
PrNd3Tl3 | GGA-PBE | relaxed

```
data_PrNd3Tl3
_chemical_formula_sum 'Pr2 Nd6 Tl6'
_cell_length_a 9.7799
_cell_length_b 9.7799
_cell_length_c 5.3383
_cell_angle_alpha 90.00
_cell_angle_beta 90.00
_cell_angle_gamma 120.00
_symmetry_space_group_name_H-M 'P 63/m'
_symmetry_Int_Tables_number 176
_symmetry_space_group_name_Hall '-P 6c'
loop_
_atom_site_label
_atom_site_type_symbol
_atom_site_fract_x
_atom_site_fract_y
_atom_site_fract_z
Pr1 Pr 0.3333 0.6667 0.2500
Nd1 Nd 0.0022 0.2407 0.7500
Tl1 Tl 0.0691 0.6186 0.7500
```

Results
Energy above the most stable polymorph in this dataset: 0.22 eV per formula unit
Formation energy from the elements: -5.94 kcal/mol of atoms


No. 9
Na5U2Br12 | GGA-PBE | relaxed

```
data_Na5U2Br12
_chemical_formula_sum 'Na10 U4 Br24'
_cell_length_a 15.8084
_cell_length_b 8.3054
_cell_length_c 11.6640
_cell_angle_alpha 90.00
_cell_angle_beta 115.72
_cell_angle_gamma 90.00
_symmetry_space_group_name_H-M 'C 1 2/m 1'
_symmetry_Int_Tables_number 12
_symmetry_space_group_name_Hall '-C 2y'
loop_
_atom_site_label
_atom_site_type_symbol
_atom_site_fract_x
_atom_site_fract_y
_atom_site_fract_z
Na1 Na 0.0000 0.0000 0.0000
Na2 Na 0.0417 0.5000 0.1569
Na3 Na 0.2410 0.0000 0.9946
U1 U 0.0000 0.2499 0.5000
Br1 Br 0.1037 0.2492 0.3615
Br2 Br 0.1202 0.5000 0.6638
Br3 Br 0.1220 0.0000 0.6615
Br4 Br 0.1243 0.2662 0.0122
```

Results
Formation energy from raw total energies: -1.3841 eV/atom


No. 10
KAl2CoNi | GGA-PBE | relaxed

```
data_KAl2CoNi
_chemical_formula_sum 'K1 Al2 Co1 Ni1'
_cell_length_a 5.2430
_cell_length_b 5.2430
_cell_length_c 4.1921
_cell_angle_alpha 90.00
_cell_angle_beta 90.00
_cell_angle_gamma 90.00
_symmetry_space_group_name_H-M 'P 4/m m m'
_symmetry_Int_Tables_number 123
_symmetry_space_group_name_Hall '-P 4 2'
loop_
_atom_site_label
_atom_site_type_symbol
_atom_site_fract_x
_atom_site_fract_y
_atom_site_fract_z
K1 K 0.0000 0.0000 0.0000
Al1 Al 0.0000 0.5000 0.0000
Co1 Co 0.0000 0.0000 0.5000
Ni1 Ni 0.5000 0.5000 0.5000
```

Results
Formation energy from the elements: 51.77 kcal/mol of atoms